Fe2RuRh, relaxed, DFT GGA-PBE; SG = P4/mmm; spin magnetization = 1.11 μB/atom; E_form = 0.10 eV/atom
1.0
3.777 0.000 0.000
0.000 3.777 0.000
0.000 0.000 3.609
Fe Ru Rh
2 1 1
Cartesian
0.000 1.889 0.000
1.889 0.000 0.000
0.000 0.000 1.804
1.889 1.889 1.804